[1]
{
  "formula": "La2ZrSe",
  "functional": "PBE",
  "state": "optimized geometry",
  "sg": "No. 123",
  "e_tot_ev_per_atom": -5.98,
  "magmom_total_mub_per_cell": 0.000,
  "raw_formation_energy_ev_per_atom": -0.507,
  "lattice_angstrom": [[5.555, 0.000, 0.000], [0.000, 5.555, 0.000], [0.000, 0.000, 3.568]],
  "species": ["La", "La", "Se", "Zr"],
  "frac_coords": [[0.000, 0.000, 0.000], [0.500, 0.500, 0.000], [0.500, 0.000, 0.500], [0.000, 0.500, 0.500]]
}

[2]
{
  "formula": "LaZr2Se",
  "functional": "PBE",
  "state": "optimized geometry",
  "sg": "No. 71",
  "e_tot_ev_per_atom": -6.86,
  "magmom_total_mub_per_cell": 0.000,
  "raw_formation_energy_ev_per_atom": -0.486,
  "lattice_angstrom": [[-0.189, 3.941, 5.462], [-2.286, -1.642, 6.122], [4.173, -0.966, -5.202]],
  "species": ["La", "Se", "Zr", "Zr"],
  "frac_coords": [[0.750, 0.250, 0.500], [0.250, 0.750, 0.500], [0.048, 0.048, 0.000], [0.452, 0.452, 0.000]]
}

[3]
{
  "formula": "LaZr2Se",
  "functional": "PBE",
  "state": "optimized geometry",
  "sg": "No. 65",
  "e_tot_ev_per_atom": -6.68,
  "magmom_total_mub_per_cell": 0.000,
  "raw_formation_energy_ev_per_atom": -0.301,
  "lattice_angstrom": [[-1.566, 0.027, 2.971], [-2.159, -0.023, -2.573], [-0.002, -9.443, 0.085]],
  "species": ["La", "Se", "Zr", "Zr"],
  "frac_coords": [[0.500, 0.500, 0.250], [0.500, 0.500, 0.750], [0.000, 0.000, 0.954], [0.000, 0.000, 0.546]]
}

[4]
{
  "formula": "La2ZrSe4",
  "functional": "PBE",
  "state": "optimized geometry",
  "de_polymorph_ev_per_atom": 0.000,
  "sg": "No. 11",
  "e_tot_ev_per_atom": -6.20,
  "magmom_total_mub_per_cell": 0.002,
  "raw_formation_energy_ev_per_atom": -1.580,
  "lattice_angstrom": [[7.323, 0.000, 0.180], [0.000, 6.801, 0.000], [-2.490, 0.000, 7.908]],
  "species": ["La", "La", "La", "La", "Zr", "Zr", "Se", "Se", "Se", "Se", "Se", "Se", "Se", "Se"],
  "frac_coords": [[0.721, 0.750, 0.058], [0.279, 0.250, 0.942], [0.271, 0.250, 0.443], [0.729, 0.750, 0.557], [0.240, 0.750, 0.184], [0.760, 0.250, 0.816], [0.513, 0.491, 0.256], [0.041, 0.750, 0.878], [0.959, 0.250, 0.122], [0.513, 0.009, 0.256], [0.955, 0.250, 0.606], [0.487, 0.991, 0.744], [0.487, 0.509, 0.744], [0.045, 0.750, 0.394]]
}

[5]
{
  "formula": "LaZrSe",
  "functional": "PBE",
  "state": "optimized geometry",
  "de_polymorph_ev_per_atom": 0.000,
  "sg": "No. 156",
  "e_tot_ev_per_atom": -6.50,
  "magmom_total_mub_per_cell": 0.830,
  "raw_formation_energy_ev_per_atom": -0.847,
  "lattice_angstrom": [[-0.415, 2.761, -2.626], [-2.998, -1.089, 2.126], [1.524, 4.432, 4.418]],
  "species": ["La", "Se", "Zr"],
  "frac_coords": [[0.000, 0.000, 0.039], [0.333, 0.667, 0.358], [0.667, 0.333, 0.602]]
}

[6]
{
  "formula": "LaZr2Se",
  "functional": "PBE",
  "state": "optimized geometry",
  "sg": "No. 123",
  "e_tot_ev_per_atom": -6.75,
  "magmom_total_mub_per_cell": 0.000,
  "raw_formation_energy_ev_per_atom": -0.377,
  "lattice_angstrom": [[3.500, 0.000, 0.000], [0.000, 3.500, 0.000], [0.000, 0.000, 8.014]],
  "species": ["La", "Se", "Zr", "Zr"],
  "frac_coords": [[0.500, 0.500, 0.250], [0.500, 0.500, 0.750], [0.000, 0.000, 0.939], [0.000, 0.000, 0.561]]
}

[7]
{
  "formula": "LaZrSe3",
  "functional": "PBE",
  "state": "optimized geometry",
  "de_polymorph_ev_per_atom": 0.000,
  "sg": "No. 12",
  "e_tot_ev_per_atom": -6.41,
  "magmom_total_mub_per_cell": 0.000,
  "raw_formation_energy_ev_per_atom": -1.629,
  "lattice_angstrom": [[3.849, -0.001, -0.843], [-2.129, 7.398, -0.510], [0.000, 0.080, 9.203]],
  "species": ["La", "La", "Zr", "Zr", "Se", "Se", "Se", "Se", "Se", "Se"],
  "frac_coords": [[0.920, 0.031, 0.893], [0.576, 0.515, 0.721], [0.633, 0.908, 0.441], [0.864, 0.638, 0.173], [0.882, 0.235, 0.613], [0.194, 0.828, 0.643], [0.086, 0.000, 0.256], [0.303, 0.718, 0.970], [0.410, 0.546, 0.358], [0.614, 0.311, 0.001]]
}

[8]
{
  "formula": "LaZrSe3",
  "functional": "PBE",
  "state": "optimized geometry",
  "de_polymorph_ev_per_atom": 0.331,
  "sg": "No. 221",
  "e_tot_ev_per_atom": -6.08,
  "magmom_total_mub_per_cell": 0.000,
  "raw_formation_energy_ev_per_atom": -1.298,
  "lattice_angstrom": [[5.176, 0.000, 0.000], [0.000, 5.176, 0.000], [0.000, 0.000, 5.176]],
  "species": ["Se", "Se", "Se", "Zr", "La"],
  "frac_coords": [[0.000, 0.500, 0.000], [0.000, 0.000, 0.500], [0.500, 0.000, 0.000], [0.000, 0.000, 0.000], [0.500, 0.500, 0.500]]
}

| no. | V (A^3/atom) |
| --- | --- |
| 1 | 27.53 |
| 2 | 25.15 |
| 3 | 24.66 |
| 4 | 28.35 |
| 5 | 27.32 |
| 6 | 24.54 |
| 7 | 26.24 |
| 8 | 27.73 |